An optimized crystal structure of LaCo2Sb. Source: Alexandria, functional PBE.

## Properties
The value obtained for the energy relative to the elements, uncorrected is 0.08 eV/atom. The total magnetic moment is 0.33 μB/atom. As for the space group: P2/m (10). The density is 8.439 Mg/m³.

Cell: 3.3103 3.3119 6.7934 Å, 90.00 90.20 90.00°
Last column: nearest neighbours and their distance in Å.
Sites, in units of the cell vectors:
La: 0.0000 0.0000 0.0000  8 Co 3.11-3.12, 4 La 3.31, 2 Sb 3.40
Co: 0.4985 0.5000 0.3030  1 Co 2.68, 4 Sb 2.70
Co: 0.5015 0.5000 0.6970  1 Co 2.68, 4 Sb 2.70
Sb: 0.0000 0.0000 0.5000  8 Co 2.70



An optimized crystal structure of LaCoSb2. Source: Alexandria, functional PBE.

## Properties
The value obtained for the energy relative to the elements, uncorrected is -0.07 eV/atom. The total magnetic moment is 0.59 μB/atom. As for the space group: I4/mmm (139). The density is 7.353 Mg/m³. For the polymorph energy (0 for the lowest one), the calculation gives 605.2 meV per atom.

Cell: 4.5282 4.5282 9.7217 Å, 90.00 90.00 90.00°
Last column: nearest neighbours and their distance in Å.
Sites, in units of the cell vectors:
La: 0.0000 0.0000 0.0000  4 Co 3.20, 8 Sb 3.32
La: 0.5000 0.5000 0.5000  4 Co 3.20, 8 Sb 3.32
Co: 0.0000 0.0000 0.5000  4 La 3.20, 8 Sb 3.32
Co: 0.5000 0.5000 0.0000  4 La 3.20, 8 Sb 3.32
Sb: 0.0000 0.5000 0.2500  4 Sb 3.20, 4 Co 3.32, 4 La 3.32
Sb: 0.0000 0.5000 0.7500  4 Sb 3.20, 4 Co 3.32, 4 La 3.32
Sb: 0.5000 0.0000 0.2500  4 Sb 3.20, 4 Co 3.32, 4 La 3.32
Sb: 0.5000 0.0000 0.7500  4 Sb 3.20, 4 Co 3.32, 4 La 3.32